Computed, not measured: a geometry-optimized Rb2Se2Br structure at the PBE level of DFT.

Output
Spin magnetization in μB/f.u.: 1.00
Uncorrected formation energy in eV/f.u.: -4.7
N(E_F) in states/eV per cell: 5.71
Symmetry: P4/mbm

Cell lengths 9.1787, 9.1787, 5.1688 Å; angles 90.00, 90.00, 90.00 degrees
Last column: nearest neighbours and their distance in Å.
Fractional positions:
Rb: 0.1867 0.3133 0.0000  2 Br 3.35, 4 Se 3.73
Rb: 0.3133 0.8133 0.0000  2 Br 3.35, 4 Se 3.73
Rb: 0.6867 0.1867 0.0000  2 Br 3.35, 4 Se 3.73
Rb: 0.8133 0.6867 0.0000  2 Br 3.35, 4 Se 3.73
Se: 0.0889 0.5889 0.5000  1 Se 2.31
Se: 0.4111 0.0889 0.5000  1 Se 2.31
Se: 0.5889 0.9111 0.5000  1 Se 2.31
Se: 0.9111 0.4111 0.5000  1 Se 2.31
Br: 0.0000 0.0000 0.0000  4 Rb 3.35
Br: 0.5000 0.5000 0.0000  4 Rb 3.35


Computed, not measured: a geometry-optimized YPuPt10 structure at the PBE level of DFT.

Output
Spin magnetization in μB/f.u.: 4.85
Energy relative to the elements in meV per atom: -606.7
N(E_F) in states/eV per cell: 19.87
Symmetry: Pmmm

Cell lengths 4.4503, 5.3754, 9.2830 Å; angles 90.00, 90.00, 90.00 degrees
Last column: nearest neighbours and their distance in Å.
Fractional positions:
Y: 0.0000 0.0000 0.0000  6 Pt 3.09-3.10
Pu: 0.0000 0.5000 0.5000  6 Pt 3.10-3.11
Pt: 0.0000 0.0000 0.3325  6 Pt 2.71
Pt: 0.0000 0.0000 0.6675  6 Pt 2.71
Pt: 0.0000 0.5000 0.1663  6 Pt 2.71
Pt: 0.0000 0.5000 0.8337  6 Pt 2.71
Pt: 0.5000 0.0000 0.5000  8 Pt 2.69-2.71
Pt: 0.5000 0.2499 0.2492  8 Pt 2.68-2.71
Pt: 0.5000 0.2499 0.7508  8 Pt 2.68-2.71
Pt: 0.5000 0.5000 0.0000  8 Pt 2.68-2.71
Pt: 0.5000 0.7501 0.2492  8 Pt 2.68-2.71
Pt: 0.5000 0.7501 0.7508  8 Pt 2.68-2.71


Computed, not measured: a geometry-optimized UPaIn2 structure at the PBE level of DFT.

Output
Spin magnetization in μB/f.u.: 3.15
Energy relative to the elements in meV per atom: 83.3
N(E_F) in states/eV per cell: 8.68
Symmetry: P4/mmm

Cell lengths 4.2955, 4.2955, 5.1608 Å; angles 90.00, 90.00, 90.00 degrees
Last column: nearest neighbours and their distance in Å.
Fractional positions:
U: 0.0000 0.0000 0.0000  4 Pa 3.04, 8 In 3.36
Pa: 0.5000 0.5000 0.0000  4 U 3.04, 8 In 3.36
In: 0.0000 0.5000 0.5000  4 In 3.04, 4 Pa 3.36, 4 U 3.36
In: 0.5000 0.0000 0.5000  4 In 3.04, 4 Pa 3.36, 4 U 3.36


Computed, not measured: a geometry-optimized SrLi2TlCl structure at the PBE level of DFT.

Output
Spin magnetization in μB/f.u.: 0.00
Uncorrected formation energy in eV/f.u.: -0.5
N(E_F) in states/eV per cell: 2.64
Symmetry: P4/mmm

Cell lengths 6.5936, 6.5936, 5.3766 Å; angles 90.00, 90.00, 90.00 degrees
Last column: nearest neighbours and their distance in Å.
Fractional positions:
Sr: 0.0000 0.0000 0.0000  2 Cl 2.69
Li: 0.0000 0.5000 0.0000  2 Sr 3.30
Li: 0.5000 0.0000 0.0000  2 Sr 3.30
Tl: 0.5000 0.5000 0.5000  8 Li 4.25, 4 Cl 4.66
Cl: 0.0000 0.0000 0.5000  2 Sr 2.69


Computed, not measured: a geometry-optimized AcCoRh structure at the PBE level of DFT.

Output
Spin magnetization in μB/f.u.: 1.19
Energy relative to the elements in meV per atom: -279.4
N(E_F) in states/eV per cell: 5.69
Symmetry: P6_3/mmc

Cell lengths 4.1933, 4.1933, 8.7738 Å; angles 90.00, 90.00, 120.00 degrees
Last column: nearest neighbours and their distance in Å.
Fractional positions:
Ac: 0.0000 0.0000 0.0000  6 Co 3.27, 6 Rh 3.27
Ac: 0.0000 0.0000 0.5000  6 Co 3.27, 6 Rh 3.27
Co: 0.3333 0.6667 0.2500  3 Rh 2.42
Co: 0.6667 0.3333 0.7500  3 Rh 2.42
Rh: 0.3333 0.6667 0.7500  3 Co 2.42
Rh: 0.6667 0.3333 0.2500  3 Co 2.42


Computed, not measured: a geometry-optimized Sm3Re2Tc9 structure at the PBE level of DFT.

Output
Spin magnetization in μB/f.u.: 0.00
Energy relative to the elements in meV per atom: 83.3
N(E_F) in states/eV per cell: 10.97
Symmetry: Immm

Cell lengths 7.9914, 7.9914, 7.9914 Å; angles 147.38, 105.92, 83.31 degrees
Last column: nearest neighbours and their distance in Å.
Fractional positions:
Sm: 0.0000 0.0000 0.0000  12 Tc 3.04-3.40
Sm: 0.3164 0.3164 0.0000  10 Tc 3.07-3.20, 2 Re 3.08
Sm: 0.6836 0.6836 0.0000  10 Tc 3.07-3.20, 2 Re 3.08
Re: 0.2758 0.5000 0.7758  6 Tc 2.53-2.70
Re: 0.7242 0.5000 0.2242  6 Tc 2.53-2.70
Tc: 0.0415 0.6814 0.3600  4 Tc 2.44-2.70, 1 Re 2.53
Tc: 0.1485 0.8740 0.2745  4 Tc 2.44-2.67, 2 Re 2.70
Tc: 0.3214 0.6814 0.6400  4 Tc 2.44-2.70, 1 Re 2.53
Tc: 0.4005 0.1260 0.2745  4 Tc 2.44-2.67, 2 Re 2.70
Tc: 0.5000 0.0000 0.5000  4 Tc 2.64
Tc: 0.5995 0.8740 0.7255  4 Tc 2.44-2.67, 2 Re 2.70
Tc: 0.6786 0.3186 0.3600  4 Tc 2.44-2.70, 1 Re 2.53
Tc: 0.8515 0.1260 0.7255  4 Tc 2.44-2.67, 2 Re 2.70
Tc: 0.9585 0.3186 0.6400  4 Tc 2.44-2.70, 1 Re 2.53


Computed, not measured: a geometry-optimized YAsBr2 structure at the PBE level of DFT.

Output
Spin magnetization in μB/f.u.: 0.00
Uncorrected formation energy in eV/f.u.: -2.8
N(E_F) in states/eV per cell: 3.05
Symmetry: Cmmm

Cell lengths 6.5886, 6.6246, 4.9935 Å; angles 90.00, 90.00, 90.00 degrees
Last column: nearest neighbours and their distance in Å.
Fractional positions:
Y: 0.0000 0.0000 0.0000  4 Br 2.94, 2 As 3.29
Y: 0.5000 0.5000 0.0000  4 Br 2.94, 2 As 3.29
As: 0.0000 0.5000 0.0000  4 Br 3.04, 4 Y 3.29-3.31
As: 0.5000 0.0000 0.0000  4 Br 3.04, 4 Y 3.29-3.31
Br: 0.2370 0.0000 0.5000  2 Y 2.94, 2 As 3.04, 1 Br 3.12
Br: 0.2630 0.5000 0.5000  2 Y 2.94, 2 As 3.04, 1 Br 3.12
Br: 0.7370 0.5000 0.5000  2 Y 2.94, 2 As 3.04, 1 Br 3.12
Br: 0.7630 0.0000 0.5000  2 Y 2.94, 2 As 3.04, 1 Br 3.12


Computed, not measured: a geometry-optimized Ba2CdC structure at the PBE level of DFT.

Output
Spin magnetization in μB/f.u.: 0.00
Energy relative to the elements in meV per atom: 599.0
N(E_F) in states/eV per cell: 25.03
Symmetry: I-42d

Cell lengths 8.4240, 8.4240, 8.3319 Å; angles 90.00, 90.00, 90.00 degrees
Last column: nearest neighbours and their distance in Å.
Fractional positions:
Ba: 0.1549 0.2500 0.1250  2 C 2.69
Ba: 0.2500 0.6549 0.3750  2 C 2.69
Ba: 0.2500 0.8451 0.8750  2 C 2.69
Ba: 0.3451 0.2500 0.6250  2 C 2.69
Ba: 0.6549 0.7500 0.6250  2 C 2.69
Ba: 0.7500 0.1549 0.8750  2 C 2.69
Ba: 0.7500 0.3451 0.3750  2 C 2.69
Ba: 0.8451 0.7500 0.1250  2 C 2.69
Cd: 0.0000 0.0000 0.5000  8 Ba 3.74-3.99, 2 C 4.17
Cd: 0.0000 0.5000 0.7500  8 Ba 3.74-3.99, 2 C 4.17
Cd: 0.5000 0.0000 0.2500  8 Ba 3.74-3.99, 2 C 4.17
Cd: 0.5000 0.5000 0.0000  8 Ba 3.74-3.99, 2 C 4.17
C: 0.0000 0.0000 0.0000  4 Ba 2.69
C: 0.0000 0.5000 0.2500  4 Ba 2.69
C: 0.5000 0.0000 0.7500  4 Ba 2.69
C: 0.5000 0.5000 0.5000  4 Ba 2.69